Density functional theory data (meta-GGA SCAN) for a crystal of GaBr relaxed with PBEsol.

Summary:
energy relative to the elements, uncorrected = -0.569 eV per atom

Unit cell a=8.669 b=4.624 c=6.926 alpha=90.00 beta=112.11 gamma=90.00
Space group C2/m (No. 12)
Unique sites:
Ga: 0.202 0.000 0.000 (multiplicity 4)
Br: 0.087 0.000 0.289 (multiplicity 4)


Density functional theory data (meta-GGA SCAN) for a crystal of NaAlNi3 relaxed with PBEsol.

Summary:
energy of formation = 3.16 eV/f.u.

Unit cell a=4.336 b=4.336 c=4.336 alpha=90.00 beta=90.00 gamma=90.00
Space group Pm-3m (No. 221)
Unique sites:
Na: 0.000 0.000 0.000 (multiplicity 1)
Al: 0.500 0.500 0.500 (multiplicity 1)
Ni: 0.000 0.500 0.500 (multiplicity 3)


Density functional theory data (meta-GGA SCAN) for a crystal of TaI2Br relaxed with PBEsol.

Summary:
energy relative to the elements, uncorrected = -0.057 eV per atom

Unit cell a=10.051 b=10.051 c=5.111 alpha=90.00 beta=90.00 gamma=90.00
Space group I-42d (No. 122)
Unique sites:
Ta: 0.000 0.000 0.000 (multiplicity 4)
I: 0.109 0.750 0.125 (multiplicity 8)
Br: 0.000 0.000 0.500 (multiplicity 4)


Density functional theory data (meta-GGA SCAN) for a crystal of AlTc relaxed with PBEsol.

Summary:
energy of formation = -0.65 eV/f.u.
polymorph energy (0 for the lowest one) = 183 meV/atom

Unit cell a=2.7967 b=2.7967 c=4.1811 alpha=90.00 beta=90.00 gamma=120.00
Space group P-6m2 (No. 187)
Unique sites:
Al: 0.0000 0.0000 0.0000 (multiplicity 1)
Tc: 0.3333 0.6667 0.5000 (multiplicity 1)


Density functional theory data (meta-GGA SCAN) for a crystal of GeRh3Se relaxed with PBEsol.

Summary:
energy relative to the elements, uncorrected = 0.593 eV per atom

Unit cell a=4.511 b=4.511 c=4.511 alpha=90.00 beta=90.00 gamma=90.00
Space group Pm-3m (No. 221)
Unique sites:
Ge: 0.000 0.000 0.000 (multiplicity 1)
Rh: 0.000 0.500 0.500 (multiplicity 3)
Se: 0.500 0.500 0.500 (multiplicity 1)


Density functional theory data (meta-GGA SCAN) for a crystal of Ge2BH relaxed with PBEsol.

Summary:
E = -11.26 eV per atom

Unit cell a=5.609 b=5.609 c=5.609 alpha=90.00 beta=90.00 gamma=90.00
Space group Fm-3m (No. 225)
Unique sites:
Ge: 0.250 0.250 0.250 (multiplicity 8)
B: 0.000 0.000 0.000 (multiplicity 4)
H: 0.000 0.000 0.500 (multiplicity 4)


Density functional theory data (meta-GGA SCAN) for a crystal of K2AsRh relaxed with PBEsol.

Summary:
energy of formation = -1.18 eV/f.u.

Unit cell a=3.934 b=5.616 c=10.338 alpha=90.00 beta=90.00 gamma=90.00
Space group Imm2 (No. 44)
Unique sites:
K: 0.000 0.000 0.000 (multiplicity 2)
K: 0.000 0.500 0.190 (multiplicity 2)
As: 0.000 0.000 0.411 (multiplicity 2)
Rh: 0.000 0.500 0.800 (multiplicity 2)


Density functional theory data (meta-GGA SCAN) for a crystal of Sr4Hf3O10 relaxed with PBEsol.

Summary:
energy relative to the elements, uncorrected = -3.620 eV per atom

Unit cell a=29.396 b=5.702 c=5.702 alpha=90.00 beta=90.00 gamma=90.00
Space group Cmce (No. 64)
Unique sites:
Sr: 0.070 0.000 0.000 (multiplicity 8)
Sr: 0.206 0.000 0.000 (multiplicity 8)
Hf: 0.000 0.000 0.500 (multiplicity 4)
Hf: 0.141 0.000 0.500 (multiplicity 8)
O: 0.000 0.195 0.195 (multiplicity 8)
O: 0.070 0.000 0.500 (multiplicity 8)
O: 0.140 0.200 0.800 (multiplicity 16)
O: 0.211 0.000 0.500 (multiplicity 8)


Density functional theory data (meta-GGA SCAN) for a crystal of InCo2Ru relaxed with PBEsol.

Summary:
energy of formation = 1.39 eV/f.u.

Unit cell a=4.029 b=2.705 c=9.707 alpha=90.00 beta=90.00 gamma=90.00
Space group Amm2 (No. 38)
Unique sites:
In: 0.000 0.000 0.000 (multiplicity 2)
Co: 0.000 0.000 0.739 (multiplicity 2)
Co: 0.500 0.000 0.614 (multiplicity 2)
Ru: 0.500 0.000 0.335 (multiplicity 2)


Density functional theory data (meta-GGA SCAN) for a crystal of ZrTe3C relaxed with PBEsol.

Summary:
energy relative to the elements, uncorrected = 1.221 eV per atom

Unit cell a=5.491 b=5.491 c=5.491 alpha=90.00 beta=90.00 gamma=90.00
Space group Pm-3m (No. 221)
Unique sites:
Zr: 0.000 0.000 0.000 (multiplicity 1)
Te: 0.000 0.000 0.500 (multiplicity 3)
C: 0.500 0.500 0.500 (multiplicity 1)


Density functional theory data (meta-GGA SCAN) for a crystal of EuAl2Cl8 relaxed with PBEsol.

Summary:
energy relative to the elements, uncorrected = -1.992 eV per atom

Unit cell a=7.404 b=6.908 c=12.430 alpha=90.00 beta=95.91 gamma=90.00
Space group P2/c (No. 13)
Unique sites:
Eu: 0.000 0.154 0.250 (multiplicity 2)
Al: 0.178 0.262 0.925 (multiplicity 4)
Cl: 0.101 0.179 0.614 (multiplicity 4)
Cl: 0.238 0.467 0.351 (multiplicity 4)
Cl: 0.244 0.303 0.096 (multiplicity 4)
Cl: 0.330 0.027 0.865 (multiplicity 4)


Density functional theory data (meta-GGA SCAN) for a crystal of ZnCdCu2 relaxed with PBEsol.

Summary:
energy of formation = 0.14 eV/f.u.

Unit cell a=6.058 b=6.058 c=6.058 alpha=90.00 beta=90.00 gamma=90.00
Space group Fm-3m (No. 225)
Unique sites:
Zn: 0.000 0.000 0.000 (multiplicity 4)
Cd: 0.000 0.000 0.500 (multiplicity 4)
Cu: 0.250 0.250 0.250 (multiplicity 8)


Density functional theory data (meta-GGA SCAN) for a crystal of Ca2C relaxed with PBEsol.

Summary:
energy of formation = 1.43 eV/f.u.
polymorph energy (0 for the lowest one) = 497 meV/atom

Unit cell a=3.105 b=19.552 c=4.335 alpha=90.00 beta=90.00 gamma=90.00
Space group Cmcm (No. 63)
Unique sites:
Ca: 0.000 0.048 0.250 (multiplicity 4)
Ca: 0.000 0.168 0.750 (multiplicity 4)
C: 0.000 0.427 0.250 (multiplicity 4)


Density functional theory data (meta-GGA SCAN) for a crystal of KZr2Te relaxed with PBEsol.

Summary:
energy relative to the elements, uncorrected = 0.013 eV per atom

Unit cell a=9.601 b=3.468 c=7.427 alpha=90.00 beta=97.35 gamma=90.00
Space group Cm (No. 8)
Unique sites:
K: 0.000 0.000 0.000 (multiplicity 2)
Zr: 0.025 0.500 0.485 (multiplicity 2)
Zr: 0.284 0.500 0.384 (multiplicity 2)
Te: 0.251 0.000 0.690 (multiplicity 2)


Density functional theory data (meta-GGA SCAN) for a crystal of Ba2TcPPb relaxed with PBEsol.

Summary:
energy of formation = 1.14 eV/f.u.

Unit cell a=5.528 b=5.528 c=5.172 alpha=90.00 beta=90.00 gamma=90.00
Space group P4/mmm (No. 123)
Unique sites:
Ba: 0.000 0.500 0.000 (multiplicity 2)
Tc: 0.000 0.000 0.000 (multiplicity 1)
P: 0.500 0.500 0.500 (multiplicity 1)
Pb: 0.000 0.000 0.500 (multiplicity 1)


Density functional theory data (meta-GGA SCAN) for a crystal of Tc2SbTe relaxed with PBEsol.

Summary:
energy relative to the elements, uncorrected = 0.315 eV per atom
polymorph energy (0 for the lowest one) = 75 meV/atom

Unit cell a=8.341 b=3.157 c=5.526 alpha=90.00 beta=103.11 gamma=90.00
Space group C2/m (No. 12)
Unique sites:
Tc: 0.246 0.000 0.267 (multiplicity 4)
Sb: 0.000 0.500 0.000 (multiplicity 2)
Te: 0.000 0.000 0.500 (multiplicity 2)


Density functional theory data (meta-GGA SCAN) for a crystal of K3BaIr relaxed with PBEsol.

Summary:
energy of formation = 8.47 eV/f.u.
polymorph energy (0 for the lowest one) = 926 meV/atom

Unit cell a=7.801 b=7.801 c=7.801 alpha=90.00 beta=90.00 gamma=90.00
Space group Pm-3m (No. 221)
Unique sites:
K: 0.000 0.000 0.500 (multiplicity 3)
Ba: 0.000 0.000 0.000 (multiplicity 1)
Ir: 0.500 0.500 0.500 (multiplicity 1)


Density functional theory data (meta-GGA SCAN) for a crystal of BaZrRu3 relaxed with PBEsol.

Summary:
energy of formation = 11.51 eV/f.u.

Unit cell a=4.810 b=4.810 c=4.810 alpha=90.00 beta=90.00 gamma=90.00
Space group Pm-3m (No. 221)
Unique sites:
Ba: 0.000 0.000 0.000 (multiplicity 1)
Zr: 0.500 0.500 0.500 (multiplicity 1)
Ru: 0.000 0.000 0.500 (multiplicity 3)


Density functional theory data (meta-GGA SCAN) for a crystal of LiP2PtCl relaxed with PBEsol.

Summary:
energy relative to the elements, uncorrected = -0.038 eV per atom

Unit cell a=4.392 b=4.392 c=7.386 alpha=90.00 beta=90.00 gamma=90.00
Space group P4/mmm (No. 123)
Unique sites:
Li: 0.000 0.000 0.000 (multiplicity 1)
P: 0.000 0.500 0.500 (multiplicity 2)
Pt: 0.500 0.500 0.500 (multiplicity 1)
Cl: 0.500 0.500 0.000 (multiplicity 1)


Density functional theory data (meta-GGA SCAN) for a crystal of K3BeRe relaxed with PBEsol.

Summary:
energy of formation = 9.59 eV/f.u.

Unit cell a=6.060 b=6.060 c=6.060 alpha=90.00 beta=90.00 gamma=90.00
Space group Pm-3m (No. 221)
Unique sites:
K: 0.000 0.000 0.500 (multiplicity 3)
Be: 0.000 0.000 0.000 (multiplicity 1)
Re: 0.500 0.500 0.500 (multiplicity 1)